1.
First-principles (PBE-GGA) data for a relaxed structure of GdZrGa2, as listed in the Alexandria database.

Geometry as CIF:
```
data_GdZrGa2
_cell_length_a 3.9752
_cell_length_b 4.6045
_cell_length_c 4.6045
_cell_angle_alpha 90.00
_cell_angle_beta 90.00
_cell_angle_gamma 90.00
_symmetry_space_group_name_H-M 'P 1'
_symmetry_Int_Tables_number 1
_symmetry_space_group_name_Hall 'P 1'
loop_
_atom_site_label
_atom_site_fract_x
_atom_site_fract_y
_atom_site_fract_z
Ga1 0.0000 0.0000 0.5000
Ga2 0.0000 0.5000 0.0000
Gd1 0.5000 0.5000 0.5000
Zr1 0.5000 0.0000 0.0000
```

Results
space group = No. 123

=====

2.
First-principles (PBE-GGA) data for a relaxed structure of GdZr2Ga, as listed in the Alexandria database.

Geometry as CIF:
```
data_GdZr2Ga
_cell_length_a 3.1614
_cell_length_b 3.1614
_cell_length_c 9.1823
_cell_angle_alpha 90.00
_cell_angle_beta 90.00
_cell_angle_gamma 90.00
_symmetry_space_group_name_H-M 'P 1'
_symmetry_Int_Tables_number 1
_symmetry_space_group_name_Hall 'P 1'
loop_
_atom_site_label
_atom_site_fract_x
_atom_site_fract_y
_atom_site_fract_z
Gd1 0.5000 0.5000 0.5000
Zr1 0.0000 0.0000 0.2068
Zr2 0.0000 0.0000 0.7932
Ga1 0.5000 0.5000 0.0000
```

Results
space group = No. 123

=====

3.
First-principles (PBE-GGA) data for a relaxed structure of GdZr2Ga, as listed in the Alexandria database.

Geometry as CIF:
```
data_GdZr2Ga
_cell_length_a 4.4053
_cell_length_b 4.4951
_cell_length_c 4.4951
_cell_angle_alpha 90.00
_cell_angle_beta 90.00
_cell_angle_gamma 90.00
_symmetry_space_group_name_H-M 'P 1'
_symmetry_Int_Tables_number 1
_symmetry_space_group_name_Hall 'P 1'
loop_
_atom_site_label
_atom_site_fract_x
_atom_site_fract_y
_atom_site_fract_z
Zr1 0.0000 0.0000 0.5000
Zr2 0.0000 0.5000 0.0000
Gd1 0.5000 0.5000 0.5000
Ga1 0.5000 0.0000 0.0000
```

Results
space group = No. 123

=====

no.,offset from the most stable computed form (meV/atom),formation enthalpy at 0 K (eV per formula unit)
1,75,-1.8
2,58,-0.7
3,0,-0.9